Here is crystalline CaHo2Ni at its relaxed geometry from the Alexandria database. Energies are from PBE-GGA.

The value obtained for the volume is 30.7 A^3/atom. The calculated density comes out at 5.8 g/cm³. The value obtained for the energy relative to the lowest polymorph listed for this composition is 24.2 meV per atom. The calculation puts the density of states at the Fermi level at 3.81 states/eV/cell. Its total energy is -4.364 eV/atom. Its space-group type is No. 160. The formation energy comes out at -12.5 kJ per mole of atoms. As for the spin magnetization: 0.00 μB/cell.

a = 9.447 Å, b = 9.447 Å, c = 9.447 Å
α = 24.04°, β = 24.04°, γ = 24.04°
Sites, in units of the cell vectors:
Ca: 0.000 0.000 0.000
Ho: 0.551 0.551 0.551
Ho: 0.780 0.780 0.780
Ni: 0.165 0.165 0.165

---

Here is crystalline CaHoNi4 at its relaxed geometry from the Alexandria database. Energies are from PBE-GGA.

The value obtained for the volume is 15.3 A^3/atom. The calculated density comes out at 8.0 g/cm³. The calculation puts the density of states at the Fermi level at 7.14 states/eV/cell. Its total energy is -5.276 eV/atom. Its space-group type is No. 216. The formation energy comes out at -31.3 kJ per mole of atoms. As for the spin magnetization: 0.00 μB/cell.

a = 5.062 Å, b = 5.062 Å, c = 5.062 Å
α = 60.00°, β = 60.00°, γ = 60.00°
Sites, in units of the cell vectors:
Ca: 0.000 0.000 0.000
Ho: 0.250 0.250 0.250
Ni: 0.126 0.625 0.625
Ni: 0.625 0.126 0.625
Ni: 0.625 0.625 0.126
Ni: 0.625 0.625 0.625

---

Here is crystalline CaHo4Ni4 at its relaxed geometry from the Alexandria database. Energies are from PBE-GGA.

The value obtained for the volume is 23.2 A^3/atom. The calculated density comes out at 7.4 g/cm³. The calculation puts the density of states at the Fermi level at 14.82 states/eV/cell. Its total energy is -5.059 eV/atom. Its space-group type is No. 86. The formation energy comes out at -22.4 kJ per mole of atoms. As for the spin magnetization: 0.00 μB/cell.

a = 8.765 Å, b = 8.765 Å, c = 5.425 Å
α = 90.00°, β = 90.00°, γ = 90.00°
Sites, in units of the cell vectors:
Ca: 0.250 0.250 0.250
Ca: 0.750 0.750 0.750
Ho: 0.078 0.657 0.148
Ho: 0.157 0.922 0.648
Ho: 0.343 0.578 0.648
Ho: 0.422 0.843 0.148
Ho: 0.578 0.157 0.852
Ho: 0.657 0.422 0.352
Ho: 0.843 0.078 0.352
Ho: 0.922 0.343 0.852
Ni: 0.039 0.609 0.641
Ni: 0.109 0.961 0.141
Ni: 0.391 0.539 0.141
Ni: 0.461 0.891 0.641
Ni: 0.539 0.109 0.359
Ni: 0.609 0.461 0.859
Ni: 0.891 0.039 0.859
Ni: 0.961 0.391 0.359